The following is a DFT calculation (GGA-PBE) of crystalline Si2Ni3Pd at its relaxed geometry.

Unit cell a=7.992 b=7.992 c=8.477 alpha=109.37 beta=109.37 gamma=26.24
Sites, in units of the cell vectors:
Si: 0.045 0.045 0.305
Si: 0.140 0.140 0.978
Si: 0.316 0.316 0.381
Si: 0.684 0.684 0.619
Si: 0.860 0.860 0.022
Si: 0.955 0.955 0.695
Ni: 0.000 0.000 0.000
Ni: 0.111 0.111 0.692
Ni: 0.191 0.191 0.467
Ni: 0.292 0.292 0.104
Ni: 0.462 0.462 0.160
Ni: 0.538 0.538 0.840
Ni: 0.708 0.708 0.896
Ni: 0.809 0.809 0.533
Ni: 0.889 0.889 0.308
Pd: 0.345 0.345 0.804
Pd: 0.500 0.500 0.500
Pd: 0.655 0.655 0.196

Values from the calculation:
* raw formation energy: -43 kJ per mole of atoms
* space-group type: C2/m (12)

***

The following is a DFT calculation (GGA-PBE) of crystalline SiNiPd6 at its relaxed geometry.

Unit cell a=5.149 b=5.149 c=5.149 alpha=74.59 beta=74.59 gamma=74.59
Sites, in units of the cell vectors:
Si: 0.000 0.000 0.000
Ni: 0.500 0.500 0.500
Pd: 0.009 0.470 0.757
Pd: 0.243 0.991 0.530
Pd: 0.470 0.757 0.009
Pd: 0.530 0.243 0.991
Pd: 0.757 0.009 0.470
Pd: 0.991 0.530 0.243

Values from the calculation:
* raw formation energy: -4 kJ per mole of atoms
* space-group type: R-3 (148)